PaCoSeO6: optimized geometry, GGA+U.

```
PaCoSeO6
1.0
-5.1202 -0.9647 1.5150
3.8683 -3.6650 1.0228
1.5821 3.8453 7.7954
Co O Se Pa
2 12 2 2
Direct
0.0000 0.0000 0.5000
0.0000 0.0000 0.0000
0.6432 0.9679 0.8708
0.6432 0.6753 0.6292
0.3568 0.0321 0.1292
0.3247 0.3568 0.8708
0.3247 0.9679 0.6292
0.6753 0.6432 0.1292
0.0321 0.3568 0.6292
0.0321 0.6753 0.8708
0.6753 0.0321 0.3708
0.3568 0.3247 0.3708
0.9679 0.6432 0.3708
0.9679 0.3247 0.1292
0.3333 0.6667 0.7500
0.6667 0.3333 0.2500
0.3333 0.6667 0.2500
0.6667 0.3333 0.7500
```

Output
Fermi-level density of states, states/eV per atom: 0.450
Mass density, g/cm³: 6.85
Total energy, eV per atom: -6.922
Total moment, μB per cell: 4.3